PBE Tl3HgAs, optimized geometry; excess energy over the best structure of this formula in the dataset = 0.4679 eV/atom; symmetry = Pm-3m (221); calculated density = 8.12 Mg/m³; formation enthalpy at 0 K = 0.52 eV/atom; size of the total moment = 0.0 μB per formula unit; crystal system = cubic; raw total energy = -1.8931 eV/atom
1.0
5.6637 0.0000 0.0000
0.0000 5.6637 0.0000
0.0000 0.0000 5.6637
Tl Hg As
3 1 1
Direct
0.0000 0.0000 0.5000 Tl
0.0000 0.5000 0.0000 Tl
0.5000 0.0000 0.0000 Tl
0.0000 0.0000 0.0000 Hg
0.5000 0.5000 0.5000 As

=====

PBE TlHgAs2, optimized geometry; excess energy over the best structure of this formula in the dataset = 0.0591 eV/atom; symmetry = C2/m (12); calculated density = 7.72 Mg/m³; formation enthalpy at 0 K = 0.07 eV/atom; size of the total moment = 0.0 μB per formula unit; crystal system = monoclinic; raw total energy = -2.9225 eV/atom
1.0
6.1566 -1.8114 0.0000
6.1566 1.8114 0.0000
-2.1963 0.0000 5.3493
Tl Hg As
1 1 2
Direct
0.0000 0.0000 0.0000 Tl
0.5000 0.5000 0.5000 Hg
0.2461 0.2461 0.8550 As
0.7539 0.7539 0.1450 As

=====

PBE TlHgAs4, optimized geometry; symmetry = F-43m (216); calculated density = 6.96 Mg/m³; formation enthalpy at 0 K = 0.16 eV/atom; size of the total moment = 0.0 μB per formula unit; crystal system = cubic; raw total energy = -3.3802 eV/atom
1.0
0.0000 4.3805 4.3805
4.3805 0.0000 4.3805
4.3805 4.3805 0.0000
Tl Hg As
1 1 4
Direct
0.0000 0.0000 0.0000 Tl
0.2500 0.2500 0.2500 Hg
0.1934 0.6022 0.6022 As
0.6022 0.1934 0.6022 As
0.6022 0.6022 0.1934 As
0.6022 0.6022 0.6022 As

=====

PBE Tl5Hg5As2, optimized geometry; symmetry = C2/m (12); calculated density = 10.04 Mg/m³; formation enthalpy at 0 K = 0.03 eV/atom; size of the total moment = 0.0 μB per formula unit; crystal system = monoclinic; raw total energy = -1.8608 eV/atom
1.0
7.6238 -2.2967 0.0000
7.6238 2.2967 0.0000
-7.1771 0.0000 10.2758
Tl Hg As
5 5 2
Direct
0.0000 0.0000 0.0000 Tl
0.3065 0.3065 0.4231 Tl
0.3504 0.3504 0.1637 Tl
0.6496 0.6496 0.8363 Tl
0.6935 0.6935 0.5769 Tl
0.0000 0.0000 0.5000 Hg
0.0230 0.0230 0.2763 Hg
0.3179 0.3179 0.8935 Hg
0.6821 0.6821 0.1065 Hg
0.9770 0.9770 0.7237 Hg
0.3616 0.3616 0.7042 As
0.6384 0.6384 0.2958 As

=====

PBE TlHg2As, optimized geometry; excess energy over the best structure of this formula in the dataset = 0.0621 eV/atom; symmetry = Immm (71); calculated density = 10.86 Mg/m³; formation enthalpy at 0 K = 0.18 eV/atom; size of the total moment = 0.0 μB per formula unit; crystal system = orthorhombic; raw total energy = -1.7267 eV/atom
1.0
-1.6943 2.9108 5.2735
1.6943 -2.9108 5.2735
1.6943 2.9108 -5.2735
Tl Hg As
1 2 1
Direct
0.0000 0.0000 0.0000 Tl
0.2733 0.7733 0.5000 Hg
0.7267 0.2267 0.5000 Hg
0.5000 0.5000 0.0000 As

=====

PBE Tl7Hg5As, optimized geometry; symmetry = Cm (8); calculated density = 10.35 Mg/m³; formation enthalpy at 0 K = 0.01 eV/atom; size of the total moment = 0.0 μB per formula unit; crystal system = monoclinic; raw total energy = -1.7332 eV/atom
1.0
9.1196 -2.0423 0.0000
9.1196 2.0423 0.0000
-3.3074 0.0000 21.6160
Tl Hg As
14 10 2
Direct
0.0000 0.0000 0.0000 Tl
0.0513 0.0513 0.3031 Tl
0.0684 0.0684 0.7343 Tl
0.2595 0.2595 0.7800 Tl
0.2731 0.2731 0.2179 Tl
0.3223 0.3223 0.5212 Tl
0.5011 0.5011 0.1334 Tl
0.5091 0.5091 0.6072 Tl
0.5308 0.5308 0.4500 Tl
0.6309 0.6309 0.8608 Tl
0.8003 0.8003 0.0736 Tl
0.8205 0.8205 0.3865 Tl
0.8241 0.8241 0.9089 Tl
0.8574 0.8574 0.6460 Tl
0.1418 0.1418 0.1087 Hg
0.1502 0.1502 0.5566 Hg
0.1806 0.1806 0.4146 Hg
0.1850 0.1850 0.9733 Hg
0.4193 0.4193 0.3219 Hg
0.4255 0.4255 0.7522 Hg
0.6633 0.6633 0.2624 Hg
0.6902 0.6902 0.6677 Hg
0.9057 0.9057 0.2017 Hg
0.9799 0.9799 0.8567 Hg
0.3792 0.3792 0.0061 As
0.9419 0.9419 0.5132 As

=====

PBE TlHg3As, optimized geometry; excess energy over the best structure of this formula in the dataset = 0.4070 eV/atom; symmetry = Pm-3m (221); calculated density = 7.21 Mg/m³; formation enthalpy at 0 K = 0.61 eV/atom; size of the total moment = 2.2 μB per formula unit; crystal system = cubic; raw total energy = -0.9761 eV/atom
1.0
5.8753 0.0000 0.0000
0.0000 5.8753 0.0000
0.0000 0.0000 5.8753
Tl Hg As
1 3 1
Direct
0.0000 0.0000 0.0000 Tl
0.0000 0.0000 0.5000 Hg
0.0000 0.5000 0.0000 Hg
0.5000 0.0000 0.0000 Hg
0.5000 0.5000 0.5000 As

=====

PBE TlHg2As, optimized geometry; excess energy over the best structure of this formula in the dataset = 0.0956 eV/atom; symmetry = R3m (160); calculated density = 10.75 Mg/m³; formation enthalpy at 0 K = 0.21 eV/atom; size of the total moment = 0.0 μB per formula unit; crystal system = trigonal; raw total energy = -1.6932 eV/atom
1.0
1.6309 0.9416 11.4091
-1.6309 0.9416 11.4091
0.0000 -1.8832 11.4091
Tl Hg As
1 2 1
Direct
0.0000 0.0000 0.0000 Tl
0.2399 0.2399 0.2399 Hg
0.4891 0.4891 0.4891 Hg
0.7422 0.7422 0.7422 As

=====

What is the calculated density in the sixth record?
10.35 Mg/m³

=====

What did the second record say?
PBE TlHgAs2, optimized geometry; excess energy over the best structure of this formula in the dataset = 0.0591 eV/atom; symmetry = C2/m (12); calculated density = 7.72 Mg/m³; formation enthalpy at 0 K = 0.07 eV/atom; size of the total moment = 0.0 μB per formula unit; crystal system = monoclinic; raw total energy = -2.9225 eV/atom
1.0
6.1566 -1.8114 0.0000
6.1566 1.8114 0.0000
-2.1963 0.0000 5.3493
Tl Hg As
1 1 2
Direct
0.0000 0.0000 0.0000 Tl
0.5000 0.5000 0.5000 Hg
0.2461 0.2461 0.8550 As
0.7539 0.7539 0.1450 As

=====

Which of these has the lowest raw total energy?
TlHgAs4